Entry 1:
ReHRu2W | PBE | optimized geometry

Unit cell a=3.906 b=3.906 c=3.985 alpha=90.00 beta=90.00 gamma=90.00
Sites, in units of the cell vectors:
Re 0.500 0.500 0.500
H 0.000 0.000 0.000
W 0.000 0.000 0.500
Ru 0.000 0.500 0.000
Ru 0.500 0.000 0.000

The energy relative to the lowest polymorph listed for this composition comes out at 0.08 eV/f.u. As for the total energy: -47.1 eV for the cell shown. The total magnetization comes out at 0.00 Bohr magnetons per cell. Its space-group type is P4/mmm.

=====

Entry 2:
KTc | PBE | optimized geometry

Unit cell a=5.739 b=5.739 c=8.041 alpha=90.00 beta=90.00 gamma=120.00
Each line ends with the local moment (μB).
Sites, in units of the cell vectors:
K 0.000 0.000 0.250  0.00
K 0.000 0.000 0.750  0.00
K 0.333 0.667 0.750  0.00
K 0.667 0.333 0.250  0.00
Tc 0.333 0.667 0.120  0.31
Tc 0.667 0.333 0.620  0.31
Tc 0.667 0.333 0.880  0.31
Tc 0.333 0.667 0.380  0.31

The energy relative to the lowest polymorph listed for this composition comes out at 1.51 eV/f.u. As for the total energy: -33.7 eV for the cell shown. The total magnetization comes out at 1.40 Bohr magnetons per cell. Its space-group type is P6_3/mmc.

=====

Entry 3:
Ac2NdTlN | PBE | optimized geometry

Unit cell a=5.120 b=5.337 c=5.337 alpha=90.00 beta=90.00 gamma=90.00
Sites, in units of the cell vectors:
Ac 0.000 0.000 0.500
Ac 0.000 0.500 0.000
Nd 0.500 0.000 0.000
Tl 0.500 0.500 0.500
N 0.000 0.000 0.000

As for the total energy: -27.1 eV for the cell shown. The total magnetization comes out at 0.00 Bohr magnetons per cell. Its space-group type is P4/mmm. The value obtained for the uncorrected formation energy is -678 meV per atom.

=====

Entry 4:
BeZn | PBE | optimized geometry

Unit cell a=6.914 b=6.914 c=6.914 alpha=90.00 beta=90.00 gamma=90.00
Sites, in units of the cell vectors:
Be 0.106 0.106 0.106
Be 0.106 0.894 0.894
Be 0.894 0.106 0.894
Be 0.894 0.894 0.106
Be 0.606 0.606 0.606
Be 0.606 0.394 0.394
Be 0.394 0.606 0.394
Be 0.394 0.394 0.606
Zn 0.290 0.290 0.290
Zn 0.290 0.710 0.710
Zn 0.710 0.290 0.710
Zn 0.710 0.710 0.290
Zn 0.790 0.790 0.790
Zn 0.790 0.210 0.210
Zn 0.210 0.790 0.210
Zn 0.210 0.210 0.790

As for the total energy: -29.9 eV for the cell shown. The total magnetization comes out at 0.00 Bohr magnetons per cell. Its space-group type is I-43m.

=====

Entry 5:
MnSi2Sb | PBE | optimized geometry

Unit cell a=4.367 b=4.367 c=8.687 alpha=75.44 beta=75.44 gamma=90.00
Each line ends with the local moment (μB).
Sites, in units of the cell vectors:
Sb 0.000 0.000 0.000  -0.04
Sb 0.750 0.250 0.500  -0.04
Si 0.506 0.125 0.250  -0.04
Si 0.244 0.625 0.250  -0.04
Si 0.375 0.494 0.750  -0.05
Si 0.875 0.756 0.750  -0.05
Mn 0.500 0.500 0.000  2.60
Mn 0.250 0.750 0.500  2.63

As for the total energy: -45.5 eV for the cell shown. The total magnetization comes out at 5.16 Bohr magnetons per cell. Its space-group type is I-42d. The value obtained for the uncorrected formation energy is 352 meV per atom.

=====

Entry 6:
Si2RhBr | PBE | optimized geometry

Unit cell a=3.129 b=3.129 c=7.687 alpha=90.00 beta=90.00 gamma=90.00
Sites, in units of the cell vectors:
Br 0.000 0.000 0.557
Rh 0.500 0.500 0.823
Si 0.000 0.000 0.965
Si 0.500 0.500 0.155

The energy relative to the lowest polymorph listed for this composition comes out at 0.49 eV/f.u. As for the total energy: -19.5 eV for the cell shown. The total magnetization comes out at 0.00 Bohr magnetons per cell. Its space-group type is P4mm. The value obtained for the uncorrected formation energy is 82 meV per atom.

=====

Entry 7:
CaCr3Sb | PBE | optimized geometry

Unit cell a=5.218 b=5.218 c=5.218 alpha=90.00 beta=90.00 gamma=90.00
Each line ends with the local moment (μB).
Sites, in units of the cell vectors:
Sb 0.000 0.000 0.000  -0.12
Ca 0.500 0.500 0.500  0.02
Cr 0.000 0.500 0.000  3.83
Cr 0.000 0.000 0.500  3.88
Cr 0.500 0.000 0.000  3.77

The energy relative to the lowest polymorph listed for this composition comes out at 0.00 eV/f.u. As for the total energy: -30.4 eV for the cell shown. The total magnetization comes out at 12.99 Bohr magnetons per cell. Its space-group type is Pm-3m. The value obtained for the uncorrected formation energy is 926 meV per atom.

=====

Entry 8:
TcAgSe | PBE | optimized geometry

Unit cell a=4.143 b=4.143 c=3.579 alpha=90.00 beta=90.00 gamma=120.00
Sites, in units of the cell vectors:
Ag 0.000 0.000 0.008
Se 0.333 0.667 0.453
Tc 0.667 0.333 0.539

The energy relative to the lowest polymorph listed for this composition comes out at 0.76 eV/f.u. As for the total energy: -15.6 eV for the cell shown. The total magnetization comes out at 0.00 Bohr magnetons per cell. Its space-group type is P3m1. The value obtained for the uncorrected formation energy is 374 meV per atom.